The following is a DFT calculation (GGA+U) of a relaxed Rb2CoSnO4 crystal.

Cell: 5.776 6.610 12.356 Å, 84.14 76.48 64.09°
Last column: magnetic moment on the atom in μB.
Positions (direct):
Rb (0.156, 0.000, 0.688)  0.00
Rb (0.844, 0.000, 0.312)  0.00
Rb (0.594, 0.500, 0.812)  0.00
Rb (0.906, 0.500, 0.188)  0.00
Co (0.250, 0.500, 0.500)  1.09
Co (0.500, 0.000, 0.000)  1.09
Sn (0.750, 0.500, 0.500)  -0.02
Sn (0.000, 0.000, 0.000)  -0.02
O (0.187, 0.044, 0.109)  -0.01
O (0.340, 0.956, 0.891)  -0.01
O (0.769, 0.044, 0.891)  -0.01
O (0.704, 0.956, 0.109)  -0.01
O (0.563, 0.456, 0.391)  -0.01
O (0.410, 0.544, 0.609)  -0.01
O (0.981, 0.456, 0.609)  -0.01
O (0.046, 0.544, 0.391)  -0.01

Calculated values
The calculation puts the total energy at -0.3699 Ry per atom. As for the space group: No. 70.